Version P
CaY2Pt | PBE-GGA | optimized geometry

a = 3.552 Å, b = 3.605 Å, c = 9.235 Å
α = 90.00°, β = 90.18°, γ = 90.00°
Fractional coordinates of all 4 atoms:
Ca: 0.000 0.000 0.000
Y: 0.499 0.500 0.324
Y: 0.501 0.500 0.676
Pt: 0.000 0.000 0.500

**Mass density**: 5.8 g/cm³
**DOS at the Fermi energy**: 3.8 states/eV/f.u.
**SG**: P2/m, No. 10

=====

Version Q
CaY2Pt | PBE-GGA | optimized geometry

a = 6.140 Å, b = 6.140 Å, c = 6.140 Å
α = 137.99°, β = 137.99°, γ = 60.91°
Fractional coordinates of all 4 atoms:
Ca: 0.000 0.000 0.000
Y: 0.500 0.500 0.000
Y: 0.750 0.250 0.500
Pt: 0.250 0.750 0.500

**Mass density**: 6.7 g/cm³
**DOS at the Fermi energy**: 4.8 states/eV/f.u.
**SG**: I-4m2, No. 119

=====

Least stable structure among those shown: version Q.